Entry 1:
A relaxed structure of SrTbTeAuSe2. Source: OQMD via LeMat-Bulk, functional PBE-GGA.

Lattice parameters (Å, degrees): 7.606 7.606 10.991 90.00 90.00 148.41
Atoms (fractional coordinates):
Sr (0.782, 0.218, 0.750)
Se (0.635, 0.365, 0.441)
Te (0.898, 0.102, 0.250)
Au (0.473, 0.527, 0.750)
Te (0.102, 0.898, 0.750)
Tb (0.000, 0.000, 0.500)
Se (0.365, 0.635, 0.559)
Au (0.527, 0.473, 0.250)
Se (0.635, 0.365, 0.059)
Se (0.365, 0.635, 0.941)
Sr (0.218, 0.782, 0.250)
Tb (0.000, 0.000, 0.000)

Computed properties:
V ... 27.756 A^3/atom
Spin magnetization ... 0.0 μB/f.u.
Symmetry ... No. 63
DFT total energy ... -0.17085 Ha/atom
Crystal system ... orthorhombic

Entry 2:
A relaxed structure of SrTbTe2AuSe. Source: OQMD via LeMat-Bulk, functional PBE-GGA.

Lattice parameters (Å, degrees): 7.703 7.703 10.782 90.00 90.00 147.83
Atoms (fractional coordinates):
Se (0.417, 0.583, 0.250)
Sr (0.240, 0.760, 0.750)
Te (0.148, 0.852, 0.446)
Au (0.972, 0.028, 0.750)
Au (0.028, 0.972, 0.250)
Te (0.148, 0.852, 0.054)
Tb (0.500, 0.500, 0.000)
Tb (0.500, 0.500, 0.500)
Sr (0.760, 0.240, 0.250)
Te (0.852, 0.148, 0.554)
Te (0.852, 0.148, 0.946)
Se (0.583, 0.417, 0.750)

Computed properties:
V ... 28.391 A^3/atom
Spin magnetization ... 0.0 μB/f.u.
Symmetry ... No. 63
DFT total energy ... -0.16526 Ha/atom
Crystal system ... orthorhombic

Entry 3:
A relaxed structure of SrTmTeAuSe2. Source: OQMD via LeMat-Bulk, functional PBE-GGA.

Lattice parameters (Å, degrees): 7.565 7.565 10.926 90.00 90.00 148.42
Atoms (fractional coordinates):
Sr (0.283, 0.717, 0.250)
Tm (0.500, 0.500, 0.500)
Te (0.399, 0.601, 0.750)
Tm (0.500, 0.500, 0.000)
Se (0.867, 0.133, 0.445)
Se (0.133, 0.867, 0.555)
Te (0.601, 0.399, 0.250)
Sr (0.717, 0.283, 0.750)
Se (0.867, 0.133, 0.055)
Au (0.028, 0.972, 0.750)
Au (0.972, 0.028, 0.250)
Se (0.133, 0.867, 0.945)

Computed properties:
V ... 27.288 A^3/atom
Spin magnetization ... 0.0 μB/f.u.
Symmetry ... No. 63
DFT total energy ... -0.16890 Ha/atom
Crystal system ... orthorhombic

Entry 4:
A relaxed structure of SrYAuSe3. Source: OQMD via LeMat-Bulk, functional PBE-GGA.

Lattice parameters (Å, degrees): 9.419 9.419 8.474 101.07 101.07 25.07
Atoms (fractional coordinates):
Se (0.325, 0.325, 0.637)
Au (0.455, 0.455, 0.285)
Au (0.545, 0.545, 0.715)
Y (0.164, 0.164, 0.594)
Se (0.675, 0.675, 0.363)
Se (0.000, 0.000, 0.500)
Y (0.836, 0.836, 0.406)
Se (0.687, 0.687, 0.841)
Se (0.313, 0.313, 0.159)
Sr (0.127, 0.127, 0.080)
Sr (0.873, 0.873, 0.920)
Se (0.500, 0.500, 0.000)

Computed properties:
V ... 26.028 A^3/atom
Spin magnetization ... 0.0 μB/f.u.
Symmetry ... No. 12
DFT total energy ... -0.18700 Ha/atom
Crystal system ... monoclinic